! LiCdCoB | OQMD via LeMat-Bulk | PBE-GGA | relaxed; values from VASP
! final energy	-0.133	Ha/atom
! space-group type	F-43m
&SYSTEM
  ibrav = 0, nat = 4, ntyp = 4
/
ATOMIC_SPECIES
Cd 112.41 Cd.upf
Co 58.93 Co.upf
B 10.81 B.upf
Li 6.94 Li.upf
ATOMIC_POSITIONS crystal
Cd 0.5000 0.5000 0.5000
Co 0.7500 0.7500 0.7500
B 0.0000 0.0000 0.0000
Li 0.2500 0.2500 0.2500
CELL_PARAMETERS angstrom
-0.3307 2.2542 3.3684
-3.6754 0.9618 1.4502
-1.3285 -1.6871 3.4533